[1]
A relaxed structure of LiNdY. Source: the Open Quantum Materials Database, functional PBE.

Distance to the lowest polymorph of the same formula ... 0.000 eV/atom
Electronic total energy ... -3.892 eV/atom

a = 5.101 Å, b = 5.101 Å, c = 5.101 Å
α = 60.00°, β = 60.00°, γ = 60.00°
Last column: magnetic moment on the atom in μB.
Positions (direct):
Li1 0.000 0.000 0.000  0.03
Y1 0.750 0.750 0.750  0.30
Nd1 0.250 0.250 0.250  0.28

***

[2]
A relaxed structure of Li2Nd2Zn15. Source: the Open Quantum Materials Database, functional PBE.

Electronic total energy ... -1.979 eV/atom

a = 6.815 Å, b = 6.815 Å, c = 6.815 Å
α = 83.37°, β = 83.37°, γ = 83.37°
Positions (direct):
Zn1 0.841 0.350 0.350
Zn2 0.293 0.707 0.000
Zn3 0.293 0.000 0.707
Zn4 0.650 0.159 0.650
Zn5 0.000 0.000 0.500
Zn6 0.000 0.500 0.000
Zn7 0.707 0.293 0.000
Zn8 0.350 0.350 0.841
Zn9 0.350 0.841 0.350
Zn10 0.159 0.650 0.650
Zn11 0.000 0.293 0.707
Zn12 0.000 0.707 0.293
Zn13 0.500 0.000 0.000
Zn14 0.650 0.650 0.159
Zn15 0.707 0.000 0.293
Li1 0.902 0.902 0.902
Li2 0.098 0.098 0.098
Nd1 0.339 0.339 0.339
Nd2 0.661 0.661 0.661

***

[3]
A relaxed structure of LiNdZn. Source: the Open Quantum Materials Database, functional PBE.

Electronic total energy ... -2.596 eV/atom

a = 4.780 Å, b = 4.780 Å, c = 4.780 Å
α = 60.00°, β = 60.00°, γ = 60.00°
Last column: magnetic moment on the atom in μB.
Positions (direct):
Nd1 0.750 0.750 0.750  0.11
Zn1 0.000 0.000 0.000  0.04
Li1 0.250 0.250 0.250  0.01

***

[4]
A relaxed structure of Li5Ni2. Source: the Open Quantum Materials Database, functional PBE.

Electronic total energy ... -2.904 eV/atom

a = 6.391 Å, b = 6.391 Å, c = 6.391 Å
α = 38.01°, β = 38.01°, γ = 38.01°
Positions (direct):
Li1 0.355 0.355 0.355
Li2 0.645 0.645 0.645
Li3 0.500 0.500 0.500
Li4 0.214 0.214 0.214
Li5 0.786 0.786 0.786
Ni1 0.065 0.065 0.065
Ni2 0.935 0.935 0.935

***

[5]
A relaxed structure of LiNi. Source: the Open Quantum Materials Database, functional PBE.

Electronic total energy ... -3.198 eV/atom

a = 3.223 Å, b = 3.223 Å, c = 3.223 Å
α = 60.00°, β = 60.00°, γ = 60.00°
Positions (direct):
Ni1 0.500 0.500 0.500
Li1 0.000 0.000 0.000

***

[6]
A relaxed structure of LiNi3. Source: the Open Quantum Materials Database, functional PBE.

Electronic total energy ... -4.635 eV/atom

a = 4.266 Å, b = 4.266 Å, c = 4.266 Å
α = 131.28°, β = 131.28°, γ = 71.38°
Last column: magnetic moment on the atom in μB.
Positions (direct):
Li1 0.000 0.000 0.000  -0.02
Ni1 0.750 0.250 0.500  0.48
Ni2 0.250 0.750 0.500  0.48
Ni3 0.500 0.500 0.000  0.57

***

[7]
A relaxed structure of LiNi2. Source: the Open Quantum Materials Database, functional PBE.

Electronic total energy ... -4.373 eV/atom

a = 4.671 Å, b = 4.671 Å, c = 15.272 Å
α = 90.00°, β = 90.00°, γ = 120.00°
Positions (direct):
Ni1 0.500 0.500 0.000
Ni2 0.164 0.328 0.250
Ni3 0.500 0.000 0.500
Ni4 0.836 0.164 0.750
Ni5 0.333 0.667 0.125
Ni6 0.672 0.836 0.250
Ni7 0.333 0.667 0.375
Ni8 0.500 0.500 0.500
Ni9 0.000 0.500 0.000
Ni10 0.164 0.836 0.250
Ni11 0.500 0.000 0.000
Ni12 0.328 0.164 0.750
Ni13 0.000 0.500 0.500
Ni14 0.667 0.333 0.625
Ni15 0.836 0.672 0.750
Ni16 0.667 0.333 0.875
Li1 0.000 0.000 0.908
Li2 0.667 0.333 0.344
Li3 0.667 0.333 0.156
Li4 0.333 0.667 0.656
Li5 0.000 0.000 0.408
Li6 0.333 0.667 0.844
Li7 0.000 0.000 0.092
Li8 0.000 0.000 0.592

***

[8]
A relaxed structure of Li2Np2Ni15. Source: the Open Quantum Materials Database, functional PBE.

Electronic total energy ... -5.989 eV/atom

a = 6.200 Å, b = 6.200 Å, c = 6.200 Å
α = 82.52°, β = 82.52°, γ = 82.52°
Last column: magnetic moment on the atom in μB.
Positions (direct):
Ni1 0.313 0.000 0.687  0.19
Ni2 0.656 0.656 0.161  0.22
Ni3 0.000 0.687 0.313  0.19
Ni4 0.656 0.161 0.656  0.24
Ni5 0.839 0.344 0.344  0.25
Ni6 0.161 0.656 0.656  0.25
Ni7 0.344 0.839 0.344  0.24
Ni8 0.344 0.344 0.839  0.22
Ni9 0.500 0.000 0.000  0.26
Ni10 0.687 0.313 0.000  0.17
Ni11 0.000 0.000 0.500  0.23
Ni12 0.687 0.000 0.313  0.19
Ni13 0.000 0.500 0.000  0.23
Ni14 0.000 0.313 0.687  0.19
Ni15 0.313 0.687 0.000  0.17
Np1 0.656 0.656 0.656  -0.15
Np2 0.344 0.344 0.344  -0.15
Li1 0.092 0.092 0.092  -0.01
Li2 0.908 0.908 0.908  -0.01

***

[9]
A relaxed structure of LiNpNi. Source: the Open Quantum Materials Database, functional PBE.

Distance to the lowest polymorph of the same formula ... 0.000 eV/atom
Electronic total energy ... -5.891 eV/atom

a = 4.346 Å, b = 4.346 Å, c = 4.346 Å
α = 60.00°, β = 60.00°, γ = 60.00°
Last column: magnetic moment on the atom in μB.
Positions (direct):
Ni1 0.250 0.250 0.250  0.03
Li1 0.000 0.000 0.000  0.01
Np1 0.500 0.500 0.500  0.21

***

[10]
A relaxed structure of LiNiOsPb. Source: the Open Quantum Materials Database, functional PBE.

Electronic total energy ... -5.112 eV/atom

a = 4.360 Å, b = 4.360 Å, c = 4.360 Å
α = 60.00°, β = 60.00°, γ = 60.00°
Positions (direct):
Pb1 0.000 0.000 0.000
Ni1 0.750 0.750 0.750
Os1 0.500 0.500 0.500
Li1 0.250 0.250 0.250

***

[11]
A relaxed structure of LiNiSbOs. Source: the Open Quantum Materials Database, functional PBE.

Electronic total energy ... -5.389 eV/atom

a = 4.289 Å, b = 4.289 Å, c = 4.289 Å
α = 60.00°, β = 60.00°, γ = 60.00°
Positions (direct):
Sb1 0.000 0.000 0.000
Os1 0.500 0.500 0.500
Li1 0.250 0.250 0.250
Ni1 0.750 0.750 0.750

***

[12]
A relaxed structure of LiNi4P2. Source: the Open Quantum Materials Database, functional PBE.

Electronic total energy ... -5.558 eV/atom

a = 6.899 Å, b = 6.916 Å, c = 3.514 Å
α = 90.00°, β = 90.00°, γ = 90.00°
Positions (direct):
P1 0.734 0.734 0.000
P2 0.234 0.766 0.500
P3 0.766 0.234 0.500
P4 0.266 0.266 0.000
Ni1 0.425 0.828 0.000
Ni2 0.328 0.075 0.500
Ni3 0.672 0.925 0.500
Ni4 0.172 0.575 0.000
Ni5 0.575 0.172 0.000
Ni6 0.828 0.425 0.000
Ni7 0.925 0.672 0.500
Ni8 0.075 0.328 0.500
Li1 0.000 0.000 0.000
Li2 0.500 0.500 0.500

***

[13]
A relaxed structure of Li2Ni12P7. Source: the Open Quantum Materials Database, functional PBE.

Electronic total energy ... -5.755 eV/atom

a = 8.984 Å, b = 8.984 Å, c = 3.535 Å
α = 90.00°, β = 90.00°, γ = 120.00°
Positions (direct):
P1 0.705 0.123 0.000
P2 0.293 0.880 0.500
P3 0.418 0.295 0.000
P4 0.877 0.582 0.000
P5 0.000 0.000 0.000
P6 0.587 0.707 0.500
P7 0.120 0.413 0.500
Ni1 0.907 0.126 0.500
Ni2 0.722 0.881 0.000
Ni3 0.939 0.374 0.000
Ni4 0.051 0.616 0.500
Ni5 0.384 0.435 0.500
Ni6 0.219 0.093 0.500
Ni7 0.874 0.781 0.500
Ni8 0.626 0.566 0.000
Ni9 0.119 0.841 0.000
Ni10 0.435 0.061 0.000
Ni11 0.159 0.278 0.000
Ni12 0.565 0.949 0.500
Li1 0.333 0.667 0.000
Li2 0.667 0.333 0.500

***

[14]
A relaxed structure of LiNi4P2. Source: the Open Quantum Materials Database, functional PBE.

Electronic total energy ... -5.558 eV/atom

a = 6.923 Å, b = 6.923 Å, c = 3.498 Å
α = 90.00°, β = 90.00°, γ = 90.00°
Positions (direct):
Ni1 0.327 0.926 0.500
Ni2 0.673 0.074 0.500
Ni3 0.074 0.673 0.500
Ni4 0.173 0.426 0.000
Ni5 0.827 0.574 0.000
Ni6 0.426 0.173 0.000
Ni7 0.574 0.827 0.000
Ni8 0.926 0.327 0.500
Li1 0.500 0.500 0.500
Li2 0.000 0.000 0.000
P1 0.735 0.265 0.000
P2 0.765 0.765 0.500
P3 0.235 0.235 0.500
P4 0.265 0.735 0.000

***

[15]
A relaxed structure of Li2NiP2. Source: the Open Quantum Materials Database, functional PBE.

Electronic total energy ... -4.663 eV/atom

a = 5.716 Å, b = 5.716 Å, c = 4.075 Å
α = 90.00°, β = 90.00°, γ = 90.00°
Positions (direct):
Li1 0.672 0.828 0.500
Li2 0.328 0.172 0.500
Li3 0.828 0.328 0.500
Li4 0.172 0.672 0.500
P1 0.362 0.862 0.000
P2 0.638 0.138 0.000
P3 0.862 0.638 0.000
P4 0.138 0.362 0.000
Ni1 0.500 0.500 0.000
Ni2 0.000 0.000 0.000

***

[16]
A relaxed structure of LiNi2P6. Source: the Open Quantum Materials Database, functional PBE.

Electronic total energy ... -5.208 eV/atom

a = 6.942 Å, b = 6.942 Å, c = 3.208 Å
α = 90.00°, β = 90.00°, γ = 120.00°
Positions (direct):
P1 0.324 0.000 0.500
P2 0.543 0.000 0.000
P3 0.457 0.457 0.000
P4 0.000 0.324 0.500
P5 0.000 0.543 0.000
P6 0.676 0.676 0.500
Ni1 0.333 0.667 0.500
Ni2 0.667 0.333 0.500
Li1 0.000 0.000 0.000

***

[17]
A relaxed structure of LiNi3P5. Source: the Open Quantum Materials Database, functional PBE.

Electronic total energy ... -5.091 eV/atom

a = 4.764 Å, b = 4.764 Å, c = 7.132 Å
α = 90.00°, β = 90.00°, γ = 120.00°
Positions (direct):
Ni1 0.000 0.500 0.500
Ni2 0.500 0.500 0.500
Ni3 0.500 0.000 0.500
P1 0.667 0.333 0.234
P2 0.000 0.000 0.500
P3 0.333 0.667 0.234
P4 0.333 0.667 0.766
P5 0.667 0.333 0.766
Li1 0.000 0.000 0.000

***

[18]
A relaxed structure of LiPrNiP2Pd. Source: the Open Quantum Materials Database, functional PBE.

Electronic total energy ... -5.624 eV/atom

a = 4.078 Å, b = 4.078 Å, c = 6.681 Å
α = 90.00°, β = 90.00°, γ = 120.00°
Positions (direct):
Ni1 0.667 0.333 0.656
Pd1 0.333 0.667 0.339
Pr1 0.000 0.000 0.995
Li1 0.000 0.000 0.509
P1 0.667 0.333 0.285
P2 0.333 0.667 0.717

***

[19]
A relaxed structure of Sr2LiNiP2. Source: the Open Quantum Materials Database, functional PBE.

Electronic total energy ... -4.469 eV/atom

a = 4.101 Å, b = 4.101 Å, c = 8.529 Å
α = 90.00°, β = 90.00°, γ = 120.00°
Last column: magnetic moment on the atom in μB.
Positions (direct):
Ni1 0.667 0.333 0.500  0.18
Sr1 0.333 0.667 0.247  0.00
Sr2 0.333 0.667 0.753  0.00
Li1 0.000 0.000 0.000  0.00
P1 0.000 0.000 0.500  0.03
P2 0.667 0.333 0.000  0.00

***

[20]
A relaxed structure of Sr3Li3Ni4P4. Source: the Open Quantum Materials Database, functional PBE.

Electronic total energy ... -4.365 eV/atom

a = 10.432 Å, b = 10.432 Å, c = 10.432 Å
α = 154.50°, β = 133.47°, γ = 53.81°
Positions (direct):
P1 0.610 0.610 0.000
P2 0.129 0.629 0.500
P3 0.390 0.390 0.000
P4 0.871 0.371 0.500
Sr1 0.287 0.787 0.500
Sr2 0.713 0.213 0.500
Sr3 0.500 0.000 0.500
Ni1 0.372 0.622 0.750
Ni2 0.628 0.378 0.250
Ni3 0.129 0.378 0.750
Ni4 0.871 0.622 0.250
Li1 0.000 0.500 0.500
Li2 0.888 0.888 0.000
Li3 0.112 0.112 0.000

***

[21]
A relaxed structure of LiPaNi4. Source: the Open Quantum Materials Database, functional PBE.

Electronic total energy ... -5.991 eV/atom

a = 4.860 Å, b = 4.860 Å, c = 4.860 Å
α = 60.00°, β = 60.00°, γ = 60.00°
Positions (direct):
Ni1 0.626 0.122 0.626
Ni2 0.626 0.626 0.122
Ni3 0.626 0.626 0.626
Ni4 0.122 0.626 0.626
Pa1 0.250 0.250 0.250
Li1 0.000 0.000 0.000

***

[22]
A relaxed structure of Li2Sc2NiPdPb2. Source: the Open Quantum Materials Database, functional PBE.

Electronic total energy ... -4.832 eV/atom

a = 4.604 Å, b = 4.604 Å, c = 6.530 Å
α = 90.00°, β = 90.00°, γ = 90.00°
Positions (direct):
Pb1 0.500 0.000 0.241
Pb2 0.000 0.500 0.759
Sc1 0.000 0.500 0.243
Sc2 0.500 0.000 0.757
Li1 0.500 0.500 0.000
Li2 0.000 0.000 0.500
Pd1 0.500 0.500 0.500
Ni1 0.000 0.000 0.000

***

[23]
A relaxed structure of Li4NiPtPb2. Source: the Open Quantum Materials Database, functional PBE.

Electronic total energy ... -3.666 eV/atom

a = 4.518 Å, b = 4.518 Å, c = 6.382 Å
α = 90.00°, β = 90.00°, γ = 90.00°
Positions (direct):
Pb1 0.500 0.000 0.267
Pb2 0.000 0.500 0.733
Li1 0.500 0.500 0.500
Li2 0.000 0.000 0.000
Li3 0.500 0.000 0.753
Li4 0.000 0.500 0.247
Ni1 0.000 0.000 0.500
Pt1 0.500 0.500 0.000